! Co7Os (PBE, optimized geometry); values from VASP
! E_form   100 meV/atom
! Size of the total moment   10.06 μB per formula unit
! DOS at the Fermi energy   1.04 states/eV/atom
&SYSTEM
  ibrav = 0, nat = 8, ntyp = 2
/
ATOMIC_SPECIES
Co 58.93 Co.upf
Os 190.23 Os.upf
CELL_PARAMETERS angstrom
0.000 3.561 3.561
3.561 0.000 3.561
3.561 3.561 0.000
ATOMIC_POSITIONS angstrom
Co 0.000 0.000 0.000
Co 1.780 1.780 0.000
Co 1.780 0.000 1.780
Co 3.561 1.780 1.780
Co 0.000 1.780 1.780
Co 1.780 3.561 1.780
Co 1.780 1.780 3.561
Os 3.561 3.561 3.561


! Mo2C (PBE, optimized geometry); values from VASP
! E_form   -57 meV/atom
! Size of the total moment   0.00 μB per formula unit
! DOS at the Fermi energy   0.61 states/eV/atom
&SYSTEM
  ibrav = 0, nat = 9, ntyp = 2
/
ATOMIC_SPECIES
Mo 95.94 Mo.upf
C 12.01 C.upf
CELL_PARAMETERS angstrom
2.996 0.000 0.000
-1.498 2.595 0.000
0.000 0.000 14.560
ATOMIC_POSITIONS angstrom
Mo 0.000 0.000 3.621
Mo 0.000 0.000 10.940
Mo 0.000 1.730 6.086
Mo 0.000 1.730 13.327
Mo 1.498 0.865 1.233
Mo 1.498 0.865 8.474
C 0.000 0.000 0.000
C 0.000 1.730 9.707
C 1.498 0.865 4.853


! K4AgAs2 (PBE, optimized geometry); values from VASP
! E_form   -333 meV/atom
! Size of the total moment   1.02 μB per formula unit
! DOS at the Fermi energy   0.53 states/eV/atom
&SYSTEM
  ibrav = 0, nat = 7, ntyp = 3
/
ATOMIC_SPECIES
K 39.10 K.upf
Ag 107.87 Ag.upf
As 74.92 As.upf
CELL_PARAMETERS angstrom
2.846 1.643 9.460
-2.846 1.643 9.460
0.000 -3.286 9.460
ATOMIC_POSITIONS angstrom
K 0.000 0.000 3.352
K 0.000 0.000 8.315
K 0.000 0.000 20.066
K 0.000 0.000 25.028
Ag 0.000 0.000 14.190
As 0.000 0.000 11.712
As 0.000 0.000 16.669


! KCdO (PBE, optimized geometry); values from VASP
! E_form (uncorrected)   -0.79 eV per atom
! Size of the total moment   0.00 μB per formula unit
! DOS at the Fermi energy   0.27 states/eV/atom
&SYSTEM
  ibrav = 0, nat = 9, ntyp = 3
/
ATOMIC_SPECIES
K 39.10 K.upf
Cd 112.41 Cd.upf
O 16.00 O.upf
CELL_PARAMETERS angstrom
3.565 0.000 0.000
-1.783 3.088 0.000
0.000 0.000 18.500
ATOMIC_POSITIONS angstrom
K 0.000 0.000 0.000
K 0.000 2.058 12.333
K 1.783 1.029 6.167
Cd 0.000 0.000 8.914
Cd 0.000 2.058 2.747
Cd 1.783 1.029 15.081
O 0.000 0.000 13.976
O 0.000 2.058 7.809
O 1.783 1.029 1.643


! BeFe2H (PBE, optimized geometry); values from VASP
! DFT total energy   -0.43194 Ry per atom
! Size of the total moment   4.47 μB per formula unit
! DOS at the Fermi energy   0.84 states/eV/atom
&SYSTEM
  ibrav = 0, nat = 16, ntyp = 3
/
ATOMIC_SPECIES
Be 9.01 Be.upf
Fe 55.84 Fe.upf
H 1.01 H.upf
CELL_PARAMETERS angstrom
5.242 0.000 0.000
0.000 5.242 0.000
0.000 0.000 4.992
ATOMIC_POSITIONS angstrom
Be 0.000 0.000 0.000
Be 0.000 2.621 1.248
Be 2.621 0.000 3.744
Be 2.621 2.621 2.496
Fe 0.893 1.310 3.120
Fe 1.310 3.514 4.368
Fe 1.310 4.348 1.872
Fe 1.727 1.310 0.624
Fe 3.514 3.931 0.624
Fe 3.931 0.893 1.872
Fe 3.931 1.727 4.368
Fe 4.348 3.931 3.120
H 0.000 0.000 2.496
H 0.000 2.621 3.744
H 2.621 0.000 1.248
H 2.621 2.621 0.000


! LaMg2 (PBE, optimized geometry); values from VASP
! E_form   113 meV/atom
! Size of the total moment   0.00 μB per formula unit
! DOS at the Fermi energy   0.85 states/eV/atom
&SYSTEM
  ibrav = 0, nat = 9, ntyp = 2
/
ATOMIC_SPECIES
La 138.91 La.upf
Mg 24.30 Mg.upf
CELL_PARAMETERS angstrom
7.679 0.000 0.000
-3.839 6.650 0.000
0.000 0.000 5.434
ATOMIC_POSITIONS angstrom
La 0.000 0.000 0.000
La 0.000 4.433 2.717
La 3.839 2.217 2.717
Mg -0.855 1.481 2.717
Mg -1.866 3.231 0.000
Mg 1.710 0.000 2.717
Mg 3.731 0.000 0.000
Mg 1.974 3.419 0.000
Mg 2.984 5.169 2.717


! Sr6Bi2SbI3 (PBE, optimized geometry); values from VASP
! E_form (uncorrected)   -1.26 eV per atom
! Size of the total moment   0.00 μB per formula unit
&SYSTEM
  ibrav = 0, nat = 12, ntyp = 4
/
ATOMIC_SPECIES
Sr 87.62 Sr.upf
Bi 208.98 Bi.upf
Sb 121.76 Sb.upf
I 126.90 I.upf
CELL_PARAMETERS angstrom
4.257 -7.373 0.000
4.257 7.373 0.000
-2.838 0.000 7.937
ATOMIC_POSITIONS angstrom
Sr 1.403 2.429 1.690
Sr -0.032 0.000 6.249
Sr 1.403 -2.429 1.690
Sr 4.273 2.429 6.247
Sr 5.708 0.000 1.688
Sr 4.273 -2.429 6.247
Bi 4.257 2.459 0.000
Bi 4.257 -2.459 0.000
Sb 0.000 0.000 0.000
I 2.838 4.921 3.969
I 2.838 0.000 3.969
I 2.838 -4.921 3.969


! LiPm3Si4 (PBE, optimized geometry); values from VASP
! E_form (uncorrected)   -0.47 eV per atom
! Size of the total moment   0.00 μB per formula unit
! DOS at the Fermi energy   0.62 states/eV/atom
&SYSTEM
  ibrav = 0, nat = 16, ntyp = 3
/
ATOMIC_SPECIES
Li 6.94 Li.upf
Pm 145.00 Pm.upf
Si 28.09 Si.upf
CELL_PARAMETERS angstrom
4.187 0.000 0.000
0.000 6.055 0.000
0.000 0.000 15.558
ATOMIC_POSITIONS angstrom
Li 0.000 0.000 0.000
Li 2.093 3.027 7.779
Pm 0.000 0.000 7.779
Pm 0.000 3.027 4.781
Pm 0.000 3.027 10.777
Pm 2.093 0.000 2.998
Pm 2.093 0.000 12.560
Pm 2.093 3.027 0.000
Si 0.000 1.869 1.957
Si 0.000 1.869 13.601
Si 0.000 4.185 1.957
Si 0.000 4.185 13.601
Si 2.093 1.158 5.822
Si 2.093 1.158 9.736
Si 2.093 4.897 5.822
Si 2.093 4.897 9.736


Question: Look up the size of the total moment of the third one.
Answer: 1.02 μB per formula unit